1.
A relaxed TaOs2 crystal. Source: the Alexandria database, functional PBE.

a = 5.2786 Å, b = 5.2786 Å, c = 6.7347 Å
α = 106.61°, β = 106.61°, γ = 31.54°
With the nearest neighbours (Å) after each atom.
Fractional positions:
Ta 0.1760 0.1760 0.1470  8 Os 2.71-2.82, 2 Ta 2.87
Ta 0.8240 0.8240 0.8530  8 Os 2.71-2.82, 2 Ta 2.87
Os 0.1377 0.1377 0.5277  3 Ta 2.71-2.82, 9 Os 2.71-2.87
Os 0.4593 0.4593 0.2020  6 Os 2.72-2.87, 5 Ta 2.74-2.79
Os 0.5407 0.5407 0.7980  6 Os 2.72-2.87, 5 Ta 2.74-2.79
Os 0.8623 0.8623 0.4723  3 Ta 2.71-2.82, 9 Os 2.71-2.87

Calculated values
Energy (eV per atom): -11.5531
Space-group type: C2/m (12)
E_form (meV per atom): -115.7
Magnetization (μB per formula unit): 0.00

***

2.
A relaxed Ta4Os crystal. Source: the Alexandria database, functional PBE.

a = 4.8101 Å, b = 4.8101 Å, c = 4.8101 Å
α = 90.00°, β = 90.00°, γ = 90.00°
With the nearest neighbours (Å) after each atom.
Fractional positions:
Ta 0.0000 0.0000 0.0000  12 Ta 3.40
Ta 0.0000 0.5000 0.5000  2 Os 2.41
Ta 0.5000 0.0000 0.5000  2 Os 2.41
Ta 0.5000 0.5000 0.0000  2 Os 2.41
Os 0.5000 0.5000 0.5000  6 Ta 2.41

Calculated values
Energy (eV per atom): -10.4067
Space-group type: Pm-3m (221)
E_form (meV per atom): 1321.3
Magnetization (μB per formula unit): 0.00

***

3.
A relaxed Ta2Os crystal. Source: the Alexandria database, functional PBE.

a = 4.3937 Å, b = 4.3937 Å, c = 3.0719 Å
α = 90.00°, β = 90.00°, γ = 90.00°
With the nearest neighbours (Å) after each atom.
Fractional positions:
Ta 0.0000 0.5000 0.0000  4 Os 2.68
Ta 0.5000 0.0000 0.0000  4 Os 2.68
Os 0.0000 0.0000 0.5000  8 Ta 2.68

Calculated values
Energy (eV per atom): -11.3673
Space-group type: P4/mmm (123)
E_form (meV per atom): 277.7
Magnetization (μB per formula unit): 0.00

***

4.
A relaxed Ta5Os3 crystal. Source: the Alexandria database, functional PBE.

a = 7.5733 Å, b = 7.5733 Å, c = 5.2130 Å
α = 106.96°, β = 106.96°, γ = 85.23°
With the nearest neighbours (Å) after each atom.
Fractional positions:
Ta 0.0051 0.9949 0.7500  2 Ta 2.61, 4 Os 2.83-2.84
Ta 0.2009 0.3450 0.7434  5 Os 2.63-2.94, 1 Ta 2.94
Ta 0.2044 0.6558 0.4372  5 Os 2.70-2.94, 3 Ta 2.94-3.01
Ta 0.3442 0.7956 0.0628  5 Os 2.70-2.94, 3 Ta 2.94-3.01
Ta 0.3450 0.2009 0.2434  5 Os 2.63-2.94, 1 Ta 2.94
Ta 0.6550 0.7991 0.7566  5 Os 2.63-2.94, 1 Ta 2.94
Ta 0.6558 0.2044 0.9372  5 Os 2.70-2.94, 3 Ta 2.94-3.01
Ta 0.7956 0.3442 0.5628  5 Os 2.70-2.94, 3 Ta 2.94-3.01
Ta 0.7991 0.6550 0.2566  5 Os 2.63-2.94, 1 Ta 2.94
Ta 0.9949 0.0051 0.2500  2 Ta 2.61, 4 Os 2.83-2.84
Os 0.0028 0.3479 0.1376  8 Ta 2.70-2.94
Os 0.3479 0.0028 0.6376  8 Ta 2.70-2.94
Os 0.4993 0.5007 0.2500  2 Os 2.61, 6 Ta 2.63-2.77
Os 0.5007 0.4993 0.7500  2 Os 2.61, 6 Ta 2.63-2.77
Os 0.6521 0.9972 0.3624  8 Ta 2.70-2.94
Os 0.9972 0.6521 0.8624  8 Ta 2.70-2.94

Calculated values
Energy (eV per atom): -11.7870
Space-group type: C2/c (15)
E_form (meV per atom): -167.9
Magnetization (μB per formula unit): 0.00

***

Number 2 is which compound?
Ta4Os

***

Which value of energy does entry 1 give?
-11.5531 eV per atom

***

Which value of magnetization does entry 1 give?
0.00 μB per formula unit